## Ag5SnPd6 (GGA-PBE)

Data for a relaxed Ag5SnPd6 crystal.

```
data_Ag5SnPd6
_chemical_formula_sum 'Ag5 Sn1 Pd6'
_symmetry_space_group_name_H-M 'P 1'
_symmetry_Int_Tables_number 1
_cell_length_a 4.7610
_cell_length_b 6.0416
_cell_length_c 7.0755
_cell_angle_alpha 90.00
_cell_angle_beta 98.54
_cell_angle_gamma 90.00
loop_
_symmetry_equiv_pos_as_xyz
'x,y,z'
loop_
_atom_site_label
_atom_site_type_symbol
_atom_site_fract_x
_atom_site_fract_y
_atom_site_fract_z
Ag1 Ag 0.0000 0.0000 0.0000
Ag2 Ag 0.3430 0.0000 0.6634
Ag3 Ag 0.3429 0.5000 0.6574
Ag4 Ag 0.6570 0.0000 0.3366
Ag5 Ag 0.6571 0.5000 0.3426
Sn1 Sn 0.0000 0.5000 0.0000
Pd1 Pd 0.1517 0.2527 0.3258
Pd2 Pd 0.1517 0.7473 0.3258
Pd3 Pd 0.5000 0.2561 0.0000
Pd4 Pd 0.5000 0.7439 0.0000
Pd5 Pd 0.8483 0.2527 0.6742
Pd6 Pd 0.8483 0.7473 0.6742
```

Calculated values
- Space group: P2/m
- DFT formation energy: -206 kJ/mol of formula units